[1]
A plane-wave DFT calculation with PBE-GGA was carried out for a geometry-optimized BMoC structure.

Calculated values
* total energy: -51.18 eV/cell

POSCAR file:
```
BMoC
1.0
2.766 0.000 0.000
-1.383 2.395 0.000
0.000 0.000 8.251
B Mo C
2 2 2
direct
0.333 0.667 0.250
0.667 0.333 0.750
0.000 0.000 0.000
0.000 0.000 0.500
0.333 0.667 0.750
0.667 0.333 0.250
```

***

[2]
A plane-wave DFT calculation with PBE-GGA was carried out for a geometry-optimized BMo2C structure.

Calculated values
* polymorph energy (0 for the lowest one): 0.876 eV/atom

POSCAR file:
```
BMo2C
1.0
-2.377 2.377 4.793
2.377 -2.377 4.793
2.377 2.377 -4.793
B Mo C
2 4 2
direct
0.000 0.000 0.000
0.750 0.250 0.500
0.139 0.625 0.014
0.375 0.389 0.514
0.611 0.125 0.986
0.875 0.861 0.486
0.250 0.750 0.500
0.500 0.500 0.000
```

***

[3]
A plane-wave DFT calculation with PBE-GGA was carried out for a geometry-optimized B2MoC structure.

Calculated values
* total energy: -63.51 eV/cell

POSCAR file:
```
B2MoC
1.0
-2.615 2.615 2.495
2.615 -2.615 2.495
2.615 2.615 -2.495
B Mo C
4 2 2
direct
0.017 0.625 0.892
0.375 0.267 0.392
0.733 0.125 0.108
0.875 0.983 0.608
0.250 0.750 0.500
0.500 0.500 0.000
0.000 0.000 0.000
0.750 0.250 0.500
```

***

[4]
A plane-wave DFT calculation with PBE-GGA was carried out for a geometry-optimized BMoC2 structure.

Calculated values
* total energy: -66.52 eV/cell

POSCAR file:
```
BMoC2
1.0
-2.220 2.220 3.942
2.220 -2.220 3.942
2.220 2.220 -3.942
B Mo C
2 2 4
direct
0.000 0.000 0.000
0.750 0.250 0.500
0.250 0.750 0.500
0.500 0.500 0.000
0.061 0.625 0.936
0.375 0.311 0.436
0.689 0.125 0.064
0.875 0.939 0.564
```

***

[5]
A plane-wave DFT calculation with PBE-GGA was carried out for a geometry-optimized BMo2C structure.

Calculated values
* polymorph energy (0 for the lowest one): 0.000 eV/atom

POSCAR file:
```
BMo2C
1.0
1.550 -8.802 0.000
1.550 8.802 0.000
0.000 0.000 3.079
B Mo C
2 4 2
direct
0.028 0.972 0.750
0.972 0.028 0.250
0.186 0.814 0.750
0.428 0.572 0.750
0.572 0.428 0.250
0.814 0.186 0.250
0.309 0.691 0.750
0.691 0.309 0.250
```

***

[6]
A plane-wave DFT calculation with PBE-GGA was carried out for a geometry-optimized BMo2C structure.

Calculated values
* polymorph energy (0 for the lowest one): 0.243 eV/atom

POSCAR file:
```
BMo2C
1.0
1.573 0.908 5.102
-1.573 0.908 5.102
0.000 -1.817 5.102
B Mo C
1 2 1
direct
0.000 0.000 0.000
0.242 0.242 0.242
0.758 0.758 0.758
0.500 0.500 0.500
```

***

[7]
A plane-wave DFT calculation with PBE-GGA was carried out for a geometry-optimized BMo2C structure.

Calculated values
* polymorph energy (0 for the lowest one): 0.273 eV/atom

POSCAR file:
```
BMo2C
1.0
4.789 0.000 0.000
0.000 2.846 0.000
-2.142 0.000 6.077
B Mo C
2 4 2
direct
0.182 0.250 0.297
0.818 0.750 0.703
0.270 0.750 0.031
0.298 0.750 0.606
0.702 0.250 0.394
0.730 0.250 0.969
0.023 0.250 0.746
0.977 0.750 0.254
```

***

[8]
A plane-wave DFT calculation with PBE-GGA was carried out for a geometry-optimized BMo2C structure.

Calculated values
* polymorph energy (0 for the lowest one): 0.782 eV/atom

POSCAR file:
```
BMo2C
1.0
0.000 2.758 2.758
2.758 0.000 2.758
2.758 2.758 0.000
B Mo C
1 2 1
direct
0.000 0.000 0.000
0.250 0.250 0.250
0.750 0.750 0.750
0.500 0.500 0.500
```

***

[9]
A plane-wave DFT calculation with PBE-GGA was carried out for a geometry-optimized BMoPtC2 structure.

Calculated values
* total energy: -30.39 eV/cell

POSCAR file:
```
BMoPtC2
1.0
3.900 0.000 0.000
0.000 3.900 0.000
0.000 0.000 4.185
B Mo Pt C
1 1 1 2
direct
0.000 0.000 0.000
0.500 0.500 0.000
0.000 0.000 0.500
0.000 0.500 0.500
0.500 0.000 0.500
```

***

[10]
A plane-wave DFT calculation with PBE-GGA was carried out for a geometry-optimized B2SbMoC structure.

Calculated values
* formation energy from raw total energies: 11.1 eV per formula unit

POSCAR file:
```
B2SbMoC
1.0
4.023 0.000 0.000
0.000 4.023 0.000
0.000 0.000 5.457
B Sb Mo C
2 1 1 1
direct
0.000 0.500 0.000
0.500 0.000 0.000
0.000 0.000 0.500
0.000 0.000 0.000
0.500 0.500 0.500
```

***

[11]
A plane-wave DFT calculation with PBE-GGA was carried out for a geometry-optimized BSb2MoC structure.

Calculated values
* formation energy from raw total energies: 8.2 eV per formula unit

POSCAR file:
```
BSb2MoC
1.0
5.285 0.000 0.000
0.000 5.285 0.000
0.000 0.000 3.917
B Sb Mo C
1 2 1 1
direct
0.000 0.000 0.000
0.000 0.500 0.500
0.500 0.000 0.500
0.500 0.500 0.500
0.500 0.500 0.000
```

***

[12]
A plane-wave DFT calculation with PBE-GGA was carried out for a geometry-optimized BMoWC structure.

Calculated values
* total energy: -80.83 eV/cell

POSCAR file:
```
BMoWC
1.0
1.556 -8.801 0.000
1.556 8.801 0.000
0.000 0.000 3.080
B Mo W C
2 2 2 2
direct
0.028 0.972 0.750
0.972 0.028 0.250
0.185 0.815 0.750
0.815 0.185 0.250
0.427 0.573 0.750
0.573 0.427 0.250
0.309 0.691 0.750
0.691 0.309 0.250
```

***

[13]
A plane-wave DFT calculation with PBE-GGA was carried out for a geometry-optimized YB2MoC structure.

Calculated values
* total energy: -37.35 eV/cell

POSCAR file:
```
YB2MoC
1.0
4.160 0.000 0.000
0.000 4.160 0.000
0.000 0.000 4.093
Y B Mo C
1 2 1 1
direct
0.000 0.000 0.000
0.000 0.500 0.500
0.500 0.000 0.500
0.500 0.500 0.500
0.500 0.500 0.000
```

***

[14]
A plane-wave DFT calculation with PBE-GGA was carried out for a geometry-optimized NaBC4N4 structure.

Calculated values
* formation energy from raw total energies: 0.2 eV per formula unit

POSCAR file:
```
NaBC4N4
1.0
0.000 5.937 5.937
5.937 0.000 5.937
5.937 5.937 0.000
Na B C N
2 2 8 8
direct
0.125 0.125 0.125
0.875 0.875 0.875
0.375 0.375 0.375
0.625 0.625 0.625
0.298 0.298 0.298
0.298 0.298 0.607
0.298 0.607 0.298
0.393 0.702 0.702
0.607 0.298 0.298
0.702 0.393 0.702
0.702 0.702 0.393
0.702 0.702 0.702
0.224 0.759 0.759
0.241 0.241 0.241
0.241 0.241 0.776
0.241 0.776 0.241
0.759 0.224 0.759
0.759 0.759 0.224
0.759 0.759 0.759
0.776 0.241 0.241
```

***

[15]
A plane-wave DFT calculation with PBE-GGA was carried out for a geometry-optimized Na2BCN structure.

Calculated values
* formation energy from raw total energies: 3.5 eV per formula unit

POSCAR file:
```
Na2BCN
1.0
4.981 0.000 0.000
0.000 4.981 0.000
0.000 0.000 2.822
Na B C N
2 1 1 1
direct
0.000 0.500 0.000
0.500 0.000 0.000
0.000 0.000 0.500
0.000 0.000 0.000
0.500 0.500 0.500
```

***

[16]
A plane-wave DFT calculation with PBE-GGA was carried out for a geometry-optimized Nb4B2CN structure.

Calculated values
* formation energy from raw total energies: -0.9 eV per formula unit

POSCAR file:
```
Nb4B2CN
1.0
-2.921 2.921 2.952
2.921 -2.921 2.952
2.921 2.921 -2.952
Nb B C N
4 2 1 1
direct
0.141 0.650 0.990
0.341 0.350 0.491
0.659 0.150 0.010
0.859 0.850 0.509
0.337 0.837 0.500
0.663 0.163 0.500
0.500 0.500 0.000
0.000 0.000 0.000
```

***

[17]
A plane-wave DFT calculation with PBE-GGA was carried out for a geometry-optimized Nd2BCN structure.

Calculated values
* formation energy from raw total energies: -2.9 eV per formula unit

POSCAR file:
```
Nd2BCN
1.0
6.517 0.000 0.000
0.000 3.224 0.000
-1.984 0.000 7.147
Nd B C N
4 2 2 2
direct
0.218 0.250 0.430
0.255 0.250 0.943
0.745 0.750 0.057
0.782 0.750 0.570
0.421 0.750 0.726
0.579 0.250 0.274
0.459 0.750 0.246
0.541 0.250 0.754
0.180 0.750 0.669
0.820 0.250 0.331
```

***

[18]
A plane-wave DFT calculation with PBE-GGA was carried out for a geometry-optimized Pm2BCN structure.

Calculated values
* formation energy from raw total energies: -3.2 eV per formula unit

POSCAR file:
```
Pm2BCN
1.0
6.460 0.000 0.000
0.000 3.205 0.000
-1.952 0.000 7.069
Pm B C N
4 2 2 2
direct
0.218 0.250 0.431
0.254 0.250 0.943
0.746 0.750 0.057
0.782 0.750 0.569
0.422 0.750 0.727
0.578 0.250 0.273
0.457 0.750 0.245
0.543 0.250 0.755
0.178 0.750 0.669
0.822 0.250 0.331
```

***

[19]
A plane-wave DFT calculation with PBE-GGA was carried out for a geometry-optimized Pr2BCN structure.

Calculated values
* formation energy from raw total energies: -2.7 eV per formula unit

POSCAR file:
```
Pr2BCN
1.0
6.572 0.000 0.000
0.000 3.244 0.000
-2.014 0.000 7.223
Pr B C N
4 2 2 2
direct
0.218 0.250 0.429
0.255 0.250 0.944
0.745 0.750 0.056
0.782 0.750 0.571
0.420 0.750 0.726
0.580 0.250 0.274
0.460 0.750 0.247
0.540 0.250 0.753
0.181 0.750 0.669
0.819 0.250 0.331
```

***

[20]
A plane-wave DFT calculation with PBE-GGA was carried out for a geometry-optimized TlBC2N2 structure.

Calculated values
* formation energy from raw total energies: 3.5 eV per formula unit

POSCAR file:
```
TlBC2N2
1.0
-4.150 4.150 6.882
4.150 -4.150 6.882
4.150 4.150 -6.882
Tl B C N
4 4 8 8
direct
0.000 0.000 0.000
0.500 0.000 0.000
0.500 0.000 0.500
0.500 0.500 0.500
0.000 0.000 0.500
0.000 0.500 0.000
0.000 0.500 0.500
0.500 0.500 0.000
0.104 0.098 0.739
0.136 0.396 0.494
0.142 0.636 0.239
0.402 0.642 0.006
0.598 0.358 0.994
0.858 0.364 0.761
0.864 0.604 0.506
0.896 0.902 0.261
0.187 0.182 0.941
0.253 0.313 0.495
0.258 0.753 0.441
0.318 0.758 0.005
0.682 0.242 0.995
0.742 0.247 0.559
0.747 0.687 0.505
0.813 0.818 0.059
```

***

[21]
A plane-wave DFT calculation with PBE-GGA was carried out for a geometry-optimized TlBCN2 structure.

Calculated values
* formation energy from raw total energies: 9.6 eV per formula unit

POSCAR file:
```
TlBCN2
1.0
4.202 0.000 0.000
0.000 4.202 0.000
0.000 0.000 2.963
Tl B C N
1 1 1 2
direct
0.000 0.000 0.000
0.500 0.500 0.000
0.500 0.500 0.500
0.000 0.500 0.500
0.500 0.000 0.500
```

***

[22]
A plane-wave DFT calculation with PBE-GGA was carried out for a geometry-optimized Na2B3C structure.

Calculated values
* polymorph energy (0 for the lowest one): 0.043 eV/atom

POSCAR file:
```
Na2B3C
1.0
5.920 0.000 0.000
0.000 4.988 0.000
-2.954 0.000 8.641
Na B C
8 12 4
direct
0.000 0.000 0.000
0.000 0.500 0.500
0.249 0.001 0.498
0.249 0.499 0.998
0.500 0.000 0.000
0.500 0.500 0.500
0.751 0.501 0.002
0.751 0.999 0.502
0.115 0.664 0.249
0.115 0.836 0.749
0.359 0.193 0.249
0.359 0.307 0.749
0.377 0.681 0.749
0.377 0.819 0.249
0.623 0.181 0.751
0.623 0.319 0.251
0.641 0.693 0.251
0.641 0.807 0.751
0.885 0.164 0.251
0.885 0.336 0.751
0.118 0.176 0.750
0.118 0.324 0.250
0.882 0.676 0.750
0.882 0.824 0.250
```

***

Computed values of M_tot (unit: μB/f.u.) for the preceding records, in sequence: 0.00, 0.00, 0.00, 0.00, 0.00, 0.00, 0.00, 0.00, 0.00, 1.17, 0.00, 0.00, 0.00, 0.00, 1.58, 0.00, 0.00, 0.00, 0.00, 1.13, 0.00, 0.00.